Record 1
Compound: AcSmSc
Source: the Alexandria database
Functional: PBE-GGA
Structure: relaxed

POSCAR file:
```
AcSmSc
1.0
3.6849 0.0000 0.0000
-1.8425 3.1913 0.0000
0.0000 0.0000 8.6740
Ac Sm Sc
1 1 1
Direct
0.0000 0.0000 0.0000 Ac
0.3333 0.6667 0.6356 Sm
0.6667 0.3333 0.3286 Sc
```

Computed properties:
**M_tot**: 0.000 μB per formula unit
**Crystal system**: trigonal
**DOS(E_F)**: 1.57 states/eV/atom
**Formation energy**: 0.12 eV per atom
**Energy relative to the lowest polymorph listed for this composition**: 19 meV per atom

Record 2
Compound: PmAl2Cu4
Source: the Alexandria database
Functional: PBE-GGA
Structure: relaxed

POSCAR file:
```
PmAl2Cu4
1.0
6.4681 0.0000 0.0000
0.0000 6.4681 0.0000
0.0000 0.0000 5.1954
Pm Al Cu
2 4 8
Direct
0.0000 0.0000 0.0000 Pm
0.5000 0.5000 0.5000 Pm
0.0000 0.5000 0.2500 Al
0.0000 0.5000 0.7500 Al
0.5000 0.0000 0.2500 Al
0.5000 0.0000 0.7500 Al
0.1904 0.1904 0.5000 Cu
0.1904 0.8096 0.5000 Cu
0.3096 0.3096 0.0000 Cu
0.3096 0.6904 0.0000 Cu
0.6904 0.3096 0.0000 Cu
0.6904 0.6904 0.0000 Cu
0.8096 0.1904 0.5000 Cu
0.8096 0.8096 0.5000 Cu
```

Computed properties:
**M_tot**: 0.000 μB per formula unit
**Crystal system**: tetragonal
**DOS(E_F)**: 0.58 states/eV/atom
**Formation energy**: -0.32 eV per atom

Record 3
Compound: CaCd2Re
Source: the Alexandria database
Functional: PBE-GGA
Structure: relaxed

POSCAR file:
```
CaCd2Re
1.0
2.9030 0.0000 0.0000
0.0000 4.6062 0.0000
0.0000 0.0000 6.1663
Ca Cd Re
1 2 1
Direct
0.0000 0.0000 0.0000 Ca
0.0000 0.0000 0.5263 Cd
0.5000 0.5000 0.2742 Cd
0.5000 0.5000 0.7579 Re
```

Computed properties:
**M_tot**: 0.000 μB per formula unit
**Crystal system**: orthorhombic
**DOS(E_F)**: 0.99 states/eV/atom
**Formation energy**: 0.51 eV per atom
**Energy relative to the lowest polymorph listed for this composition**: 99 meV per atom

Copy entry 1 word for word.
Compound: AcSmSc
Source: the Alexandria database
Functional: PBE-GGA
Structure: relaxed

POSCAR file:
```
AcSmSc
1.0
3.6849 0.0000 0.0000
-1.8425 3.1913 0.0000
0.0000 0.0000 8.6740
Ac Sm Sc
1 1 1
Direct
0.0000 0.0000 0.0000 Ac
0.3333 0.6667 0.6356 Sm
0.6667 0.3333 0.3286 Sc
```

Computed properties:
**M_tot**: 0.000 μB per formula unit
**Crystal system**: trigonal
**DOS(E_F)**: 1.57 states/eV/atom
**Formation energy**: 0.12 eV per atom
**Energy relative to the lowest polymorph listed for this composition**: 19 meV per atom